Sc2BIr2Rh4: relaxed, GGA-PBE.

```
Sc2BIr2Rh4
1.0
5.6873 -0.0599 -0.0864
-2.7826 4.9605 0.0864
-2.7826 -1.6619 4.6747
Ir Sc Rh B
2 2 4 1
direct
0.0000 0.7414 0.7414
0.0000 0.2586 0.2586
0.5000 0.7500 0.2500
0.5000 0.2500 0.7500
0.5180 0.2590 0.2590
0.4820 0.7410 0.7410
0.0000 0.2590 0.7410
0.0000 0.7410 0.2590
0.0000 0.0000 0.0000
```

Results
The mass density comes out at 11.42 g cm⁻³. The formation energy comes out at -0.762 eV/atom. The space group is No. 139.

=====

Cd4OF3: relaxed, GGA-PBE.

```
Cd4OF3
1.0
-5.7143 -0.2657 0.5030
0.1068 -5.8028 -1.8519
0.7718 -2.3822 7.5091
O Cd F
2 8 6
direct
0.4932 0.8157 0.5000
0.9932 0.1843 0.0000
0.0965 0.2994 0.2571
0.1179 0.8783 0.5000
0.6179 0.1217 0.0000
0.5965 0.7006 0.2429
0.7070 0.1274 0.5000
0.5965 0.7006 0.7571
0.2070 0.8726 0.0000
0.0965 0.2994 0.7429
0.9971 0.6695 0.8097
0.0100 0.5038 0.5000
0.9971 0.6695 0.1903
0.5100 0.4962 0.0000
0.4971 0.3305 0.3097
0.4971 0.3305 0.6903
```

Results
The mass density comes out at 6.27 g cm⁻³. The space group is No. 31. For the raw formation energy, the calculation gives -1.36 eV per atom.

=====

AlZn2Co5B2: relaxed, GGA-PBE.

```
AlZn2Co5B2
1.0
2.7201 0.0000 0.0000
0.0000 8.7453 0.0000
0.0000 0.0000 8.7453
Zn B Co Al
4 4 10 2
direct
0.0000 0.1784 0.3216
0.0000 0.6784 0.1784
0.0000 0.3216 0.8216
0.0000 0.8216 0.6784
0.0000 0.3756 0.1244
0.0000 0.6244 0.8756
0.0000 0.1244 0.6244
0.0000 0.8756 0.3756
0.5000 0.5672 0.7196
0.5000 0.7804 0.9328
0.5000 0.7196 0.4328
0.5000 0.5000 0.0000
0.5000 0.9328 0.2196
0.5000 0.0672 0.7804
0.5000 0.4328 0.2804
0.5000 0.2804 0.5672
0.5000 0.0000 0.5000
0.5000 0.2196 0.0672
0.0000 0.0000 0.0000
0.0000 0.5000 0.5000
```

Results
The mass density comes out at 7.57 g cm⁻³. The formation energy comes out at -0.253 eV/atom. The space group is No. 127.

=====

MgAlCd2: relaxed, GGA-PBE.

```
MgAlCd2
1.0
3.0796 0.0000 0.0000
0.0000 3.0796 0.0000
0.0000 0.0000 8.8129
Al Cd Mg
1 2 1
direct
0.5000 0.5000 0.7452
0.0000 0.0000 0.9861
0.5000 0.5000 0.2566
0.0000 0.0000 0.5121
```

Results
The mass density comes out at 5.49 g cm⁻³. The formation energy comes out at 0.011 eV/atom. The space group is No. 99.

=====

Th4GaSb2Te: relaxed, GGA-PBE.

```
Th4GaSb2Te
1.0
-1.9767 1.8965 -3.5112
4.1104 -4.5249 -4.7581
-3.8967 -6.5181 -1.3271
Th Ga Te Sb
4 1 1 2
direct
0.5000 0.7351 0.2677
0.0000 0.7434 0.7377
0.0000 0.2566 0.2622
0.5000 0.2649 0.7323
0.0000 0.5000 0.5000
0.5000 0.5000 0.0000
0.0000 0.0000 0.0000
0.5000 0.0000 0.5000
```

Results
The mass density comes out at 9.06 g cm⁻³. The space group is No. 10. For the raw formation energy, the calculation gives -0.83 eV per atom.

=====

K2PuZrTe4: relaxed, GGA-PBE.

```
K2PuZrTe4
1.0
4.3761 0.0000 0.0000
0.0000 7.6155 0.1523
0.0000 -2.6682 8.2472
Te K Pu Zr
4 2 1 1
direct
0.5000 0.7479 0.7903
0.0000 0.2797 0.7962
0.0000 0.7203 0.2038
0.5000 0.2521 0.2097
0.0000 0.5000 0.5000
0.5000 0.0000 0.5000
0.0000 0.0000 0.0000
0.5000 0.5000 0.0000
```

Results
The mass density comes out at 5.55 g cm⁻³. The space group is No. 10. For the raw formation energy, the calculation gives -1.04 eV per atom.

=====

KCrAs2: relaxed, GGA-PBE.

```
KCrAs2
1.0
3.1227 0.0000 0.0000
0.0000 3.5475 -0.0018
0.0000 0.0033 7.9531
K As Cr
1 2 1
direct
0.5000 0.6248 0.7618
0.0000 0.1250 0.0536
0.5000 0.1251 0.4091
0.0000 0.6251 0.2755
```

Results
The mass density comes out at 4.54 g cm⁻³. The formation energy comes out at -0.066 eV/atom. The space group is No. 25.

=====

DyAs2Pd2: relaxed, GGA-PBE.

```
DyAs2Pd2
1.0
-2.4890 3.2408 0.5976
1.0734 -2.8002 5.3865
6.2923 4.6210 1.1483
Pd As Dy
4 4 2
direct
0.8855 0.7710 0.6979
0.6799 0.3598 0.4843
0.1145 0.2290 0.1979
0.3201 0.6402 0.9843
0.7422 0.4844 0.1670
0.0495 0.0989 0.5045
0.9505 0.9011 0.0045
0.2578 0.5156 0.6670
0.6002 0.2004 0.8507
0.3998 0.7996 0.3507
```

Results
The mass density comes out at 9.21 g cm⁻³. The formation energy comes out at -0.791 eV/atom. The space group is No. 36.

=====

MgTl3Cu: relaxed, GGA-PBE.

```
MgTl3Cu
1.0
5.2597 0.0000 0.0000
0.0000 5.2597 0.0000
0.0000 0.0000 5.2597
Tl Mg Cu
3 1 1
direct
0.5000 0.0000 0.0000
0.0000 0.0000 0.5000
0.0000 0.5000 0.0000
0.5000 0.5000 0.5000
0.0000 0.0000 0.0000
```

Results
The mass density comes out at 8.00 g cm⁻³. The formation energy comes out at 0.238 eV/atom. The space group is No. 221.

=====

UZnHg: relaxed, GGA-PBE.

```
UZnHg
1.0
-1.1989 2.3996 -1.4015
-2.5804 -0.3948 1.5313
4.1936 3.0224 4.8552
U Zn Hg
1 1 1
direct
0.0077 0.0077 0.0154
0.6717 0.6717 0.3435
0.3206 0.3206 0.6411
```

Results
The mass density comes out at 13.51 g cm⁻³. The formation energy comes out at 0.167 eV/atom. The space group is No. 107.

=====

Sr2Ag2Au: relaxed, GGA-PBE.

```
Sr2Ag2Au
1.0
4.6440 0.0000 0.0000
2.3220 5.7409 -0.3863
2.3220 0.2339 10.6893
Au Sr Ag
2 4 4
direct
0.3913 0.8880 0.3295
0.6087 0.1120 0.6705
0.6799 0.2953 0.3450
0.0751 0.7307 0.1192
0.3201 0.7047 0.6550
0.9249 0.2693 0.8808
0.9213 0.7162 0.4411
0.6318 0.8458 0.8905
0.3682 0.1542 0.1095
0.0787 0.2838 0.5589
```

Results
The mass density comes out at 6.84 g cm⁻³. The formation energy comes out at -0.453 eV/atom. The space group is No. 12.

=====

SiRu2Rh: relaxed, GGA-PBE.

```
SiRu2Rh
1.0
-2.9244 1.8418 1.6131
0.8607 -1.5587 3.3401
2.2722 2.9251 0.7795
Ru Si Rh
2 1 1
direct
0.0000 0.0000 0.0000
0.0000 0.5000 0.5000
0.5000 0.5000 0.0000
0.5000 0.0000 0.5000
```

Results
The mass density comes out at 10.12 g cm⁻³. The space group is No. 123. For the raw formation energy, the calculation gives -0.07 eV per atom.

=====

Li2YTmAu4: relaxed, GGA-PBE.

```
Li2YTmAu4
1.0
4.8777 0.0000 0.0000
2.4388 4.2242 0.0000
2.4388 1.4081 7.7752
Tm Li Au Y
1 2 4 1
direct
0.5000 0.5000 0.5000
0.2500 0.2500 0.2500
0.7500 0.7500 0.7500
0.6258 0.6258 0.1226
0.1288 0.1288 0.6135
0.3742 0.3742 0.8774
0.8712 0.8712 0.3865
0.0000 0.0000 0.0000
```

Results
The mass density comes out at 10.98 g cm⁻³. The formation energy comes out at -0.721 eV/atom. The space group is No. 166.

=====

ZrAg2Ge2: relaxed, GGA-PBE.

```
ZrAg2Ge2
1.0
-3.3197 6.6838 -1.9217
-0.4895 -2.3486 -7.3233
-2.8478 -1.2449 0.5896
Ag Ge Zr
4 4 2
direct
0.8613 0.3613 0.5000
0.1387 0.6387 0.5000
0.6387 0.8613 0.5000
0.3613 0.1387 0.5000
0.1607 0.3393 0.0000
0.3393 0.8393 0.0000
0.8393 0.6607 0.0000
0.6607 0.1607 0.0000
0.5000 0.5000 0.0000
0.0000 0.0000 0.0000
```

Results
The mass density comes out at 7.99 g cm⁻³. The formation energy comes out at -0.030 eV/atom. The space group is No. 127.

=====

K3NbI: relaxed, GGA-PBE.

```
K3NbI
1.0
-4.8918 2.2834 -3.7424
1.9078 -3.9398 -4.8977
-3.9471 -4.7343 2.2708
Nb K I
1 3 1
direct
0.5000 0.5000 0.5000
0.0000 0.5000 0.0000
0.5000 0.0000 0.0000
0.0000 0.0000 0.5000
0.0000 0.0000 0.0000
```

Results
The mass density comes out at 1.97 g cm⁻³. The space group is No. 221. For the raw formation energy, the calculation gives 0.53 eV per atom.

=====

Sr2Br: relaxed, GGA-PBE.

```
Sr2Br
1.0
-4.0743 4.0743 3.5854
4.0743 -4.0743 3.5854
4.0743 4.0743 -3.5854
Sr Br
4 2
direct
0.3339 0.1661 0.5000
0.6661 0.8339 0.5000
0.8339 0.3339 0.1678
0.1661 0.6661 0.8322
0.7500 0.7500 0.0000
0.2500 0.2500 0.0000
```

Results
The mass density comes out at 3.56 g cm⁻³. The space group is No. 140. For the raw formation energy, the calculation gives -0.85 eV per atom.

=====

BeTe2AuCl: relaxed, GGA-PBE.

```
BeTe2AuCl
1.0
5.0456 0.0000 0.0000
0.0000 4.5701 0.0000
0.0000 0.0000 5.0456
Au Te Cl Be
1 2 1 1
direct
0.0000 0.5000 0.0000
0.5000 0.0000 0.0000
0.0000 0.0000 0.5000
0.5000 0.5000 0.5000
0.0000 0.0000 0.0000
```

Results
The mass density comes out at 7.09 g cm⁻³. The space group is No. 123. For the raw formation energy, the calculation gives 0.34 eV per atom.

=====

La2Ga9Pd3: relaxed, GGA-PBE.

```
La2Ga9Pd3
1.0
-6.9311 3.6478 -0.0920
0.4149 -7.6565 -1.6002
3.3130 -1.9767 10.0657
Ga La Pd
18 4 6
direct
0.4538 0.6458 0.9239
0.7818 0.3024 0.9229
0.5462 0.3542 0.0761
0.7781 0.4700 0.4239
0.5410 0.1862 0.5608
0.5344 0.0801 0.2515
0.4590 0.8138 0.4392
0.2219 0.5300 0.5761
0.8746 0.0199 0.0608
0.1292 0.8792 0.2500
0.1254 0.9801 0.9392
0.8794 0.8588 0.5771
0.3286 0.2829 0.2485
0.6714 0.7171 0.7515
0.2182 0.6976 0.0771
0.1206 0.1412 0.4229
0.8708 0.1208 0.7500
0.4656 0.9199 0.7485
0.6668 0.7508 0.2513
0.3332 0.2492 0.7487
0.0004 0.5845 0.7513
0.9996 0.4155 0.2487
0.5000 0.5000 0.5000
0.8374 0.1690 0.4993
0.1626 0.8310 0.5007
0.1697 0.3381 0.0007
0.8303 0.6619 0.9993
0.5000 0.0000 0.0000
```

Results
The mass density comes out at 7.83 g cm⁻³. The formation energy comes out at -0.644 eV/atom. The space group is No. 15.

=====

LiMg2Pb: relaxed, GGA-PBE.

```
LiMg2Pb
1.0
-0.2757 1.3313 2.9894
0.1092 -3.2801 0.1157
9.7010 0.3489 0.7392
Pb Li Mg
1 1 2
direct
0.5000 0.5000 0.2500
0.5000 0.5000 0.7500
0.0000 0.0000 0.9818
0.0000 0.0000 0.5182
```

Results
The mass density comes out at 4.48 g cm⁻³. The formation energy comes out at 0.007 eV/atom. The space group is No. 65.

=====

AcSmCrN4: relaxed, GGA-PBE.

```
AcSmCrN4
1.0
5.7045 0.0000 -0.0245
0.0000 5.6330 0.0000
-2.2663 0.0000 6.8299
Cr Sm N Ac
2 2 8 2
direct
0.7655 0.2500 0.6895
0.2345 0.7500 0.3105
0.7912 0.7500 0.4633
0.2088 0.2500 0.5367
0.5685 0.2500 0.8344
0.4063 0.7500 0.5548
0.0341 0.5071 0.2553
0.0341 0.9929 0.2553
0.9659 0.0071 0.7447
0.9659 0.4929 0.7447
0.5937 0.2500 0.4452
0.4315 0.7500 0.1656
0.7136 0.7500 0.9297
0.2864 0.2500 0.0703
```

Results
The mass density comes out at 7.36 g cm⁻³. The space group is No. 11. For the raw formation energy, the calculation gives -1.09 eV per atom.

=====

B5C: relaxed, GGA-PBE.

```
B5C
1.0
-4.0397 -2.0298 -0.2628
-1.1229 -3.8353 2.1303
-0.5414 4.4799 4.0397
B C
10 2
direct
0.0591 0.9409 0.5000
0.4268 0.6140 0.3633
0.6924 0.7398 0.3074
0.8253 0.4079 0.5767
0.7602 0.2398 0.0000
0.5921 0.1747 0.4233
0.3860 0.5732 0.6367
0.2602 0.3076 0.6926
0.3420 0.2902 0.1417
0.7098 0.6580 0.8583
0.5325 0.0865 0.9031
0.9135 0.4675 0.0969
```

Results
The mass density comes out at 2.28 g cm⁻³. The formation energy comes out at 0.306 eV/atom. The space group is No. 5.

=====

AcCd2Hg: relaxed, GGA-PBE.

```
AcCd2Hg
1.0
3.9342 0.0000 0.0000
0.0000 3.9342 0.0000
0.0000 0.0000 7.3927
Hg Ac Cd
1 1 2
direct
0.5000 0.5000 0.0000
0.5000 0.5000 0.5000
0.0000 0.0000 0.2105
0.0000 0.0000 0.7895
```

Results
The mass density comes out at 9.47 g cm⁻³. The formation energy comes out at -0.177 eV/atom. The space group is No. 123.

=====

CdSi2Os: relaxed, GGA-PBE.

```
CdSi2Os
1.0
-0.8861 -1.7701 3.9863
-3.5526 -2.0637 -1.7116
1.7658 -2.4596 -0.6997
Si Os Cd
2 1 1
direct
0.0000 0.0000 0.0000
0.5000 0.5000 0.0000
0.0000 0.5000 0.5000
0.5000 0.0000 0.5000
```

Results
The mass density comes out at 9.68 g cm⁻³. The space group is No. 65. For the raw formation energy, the calculation gives 0.53 eV per atom.

=====

KHg5H2: relaxed, GGA-PBE.

```
KHg5H2
1.0
0.2046 2.1954 -3.1910
-0.7532 -5.2265 -3.8120
-7.7987 -0.7262 1.5502
Hg H K
5 2 1
direct
0.8410 0.4027 0.6681
0.6797 0.1342 0.3402
0.1590 0.5973 0.3319
0.5000 0.5000 0.0000
0.3203 0.8658 0.6598
0.8136 0.8891 0.6516
0.1864 0.1109 0.3484
0.0000 0.0000 0.0000
```

Results
The mass density comes out at 8.94 g cm⁻³. The total energy is -1.077 eV/atom. The space group is No. 2.